1.
InP4Os: optimized geometry, GGA-PBEsol.

It has space group F-43m (No. 216), with a = 7.125 Å, b = 7.125 Å, c = 7.125 Å, α = 90.00°, β = 90.00° and γ = 90.00°. The distinct sites, in fractional coordinates, are In at (0.000, 0.000, 0.000), P at (0.126, 0.126, 0.374) and Os at (0.250, 0.250, 0.750).

Its formation energy is 0.931 eV/atom. For the total DFT energy (no corrections), the calculation gives -131.11 eV for the cell shown. As for the magnetization: 0.00 μB/atom. The value obtained for the density of states at the Fermi level is 17.601 states/eV/cell.


2.
InPOs2: optimized geometry, GGA-PBEsol.

It has space group P4/mmm (No. 123), with a = 4.339 Å, b = 4.339 Å, c = 3.101 Å, α = 90.00°, β = 90.00° and γ = 90.00°. The distinct sites, in fractional coordinates, are In at (0.000, 0.000, 0.000), P at (0.500, 0.500, 0.000) and Os at (0.000, 0.500, 0.500).

Its formation energy is 0.490 eV/atom. For the total DFT energy (no corrections), the calculation gives -31.25 eV for the cell shown. As for the magnetization: 0.00 μB/atom. The value obtained for the distance to the lowest polymorph of the same formula is 374 meV per atom. The value obtained for the density of states at the Fermi level is 1.910 states/eV/cell.


Please write out number 1 again, unchanged.
InP4Os: optimized geometry, GGA-PBEsol.

It has space group F-43m (No. 216), with a = 7.125 Å, b = 7.125 Å, c = 7.125 Å, α = 90.00°, β = 90.00° and γ = 90.00°. The distinct sites, in fractional coordinates, are In at (0.000, 0.000, 0.000), P at (0.126, 0.126, 0.374) and Os at (0.250, 0.250, 0.750).

Its formation energy is 0.931 eV/atom. For the total DFT energy (no corrections), the calculation gives -131.11 eV for the cell shown. As for the magnetization: 0.00 μB/atom. The value obtained for the density of states at the Fermi level is 17.601 states/eV/cell.